DFT (PBE) results for SrTcMo2 after structural relaxation.

Its formation energy is 0.699 eV per atom. The volume comes out at 18.6 Å³ per atom. The calculation puts the total moment at 0.00 μB/f.u. For the excess energy over the best structure of this formula in the dataset, the calculation gives 99 meV per atom.

abc: 3.2996 4.6838 9.6471
angles: 90.00 90.00 90.00
Space group Cmm2 (No. 35)
Inequivalent atoms, fractional coordinates:
1 Sr 0.0000 0.0000 0.0000 (multiplicity 2)
2 Tc 0.0000 0.5000 0.7202 (multiplicity 2)
3 Mo 0.0000 0.0000 0.5104 (multiplicity 2)
4 Mo 0.0000 0.5000 0.2951 (multiplicity 2)